# 1
The following is a PBE calculation of crystalline Na2InAs2O6 at its relaxed geometry, from the Alexandria database.

Cell: 5.6244 5.6244 5.9135 Å, 90.00 90.00 120.00°
With the nearest neighbours (Å) after each atom.
Space group P-3 (No. 147)
Unique sites:
Na  0.3333  0.6667  0.4095  6 O 2.55-2.69
In  0.0000  0.0000  0.0000  6 O 2.24
As  0.3333  0.6667  0.9139  3 O 1.79
O  0.0870  0.7308  0.7765  1 As 1.79

Summary:
Crystal system: trigonal
Calculated volume (Å³/f.u.): 162
Formation energy (no corrections) (eV/atom): -1.368
Total magnetic moment (μB/cell): 1.1

# 2
The following is a PBE calculation of crystalline Na2InAsO4 at its relaxed geometry, from the Alexandria database.

Cell: 5.3362 5.3362 9.1290 Å, 90.00 90.00 90.00°
With the nearest neighbours (Å) after each atom.
Space group I-4 (No. 82)
Unique sites:
Na  0.0000  0.0000  0.0000  4 O 2.38
Na  0.0000  0.5000  0.2500  4 O 2.38
In  0.0000  0.0000  0.5000  4 O 2.11
As  0.0000  0.5000  0.7500  4 O 2.00
O  0.1999  0.2577  0.6302  1 As 2.00, 1 In 2.11

Summary:
Crystal system: tetragonal
Calculated volume (Å³/f.u.): 130
Formation energy (no corrections) (eV/atom): -1.328
Total magnetic moment (μB/cell): 0.0

# 3
The following is a PBE calculation of crystalline NaInAs2Pd at its relaxed geometry, from the Alexandria database.

Cell: 5.2724 5.2724 5.1184 Å, 90.00 90.00 90.00°
With the nearest neighbours (Å) after each atom.
Space group P4/mmm (No. 123)
Unique sites:
Na  0.0000  0.0000  0.0000  8 As 3.67, 4 Pd 3.73
In  0.5000  0.5000  0.5000  2 Pd 2.56, 4 As 2.64
As  0.0000  0.5000  0.5000  2 In 2.64
Pd  0.5000  0.5000  0.0000  2 In 2.56

Summary:
Crystal system: tetragonal
Calculated volume (Å³/f.u.): 142
ΔH_f (0 K) (eV/atom): 0.43
Total magnetic moment (μB/cell): 0.1